The following is a DFT calculation (PBE with a Hubbard U) of BeCoAuF2 after structural relaxation.

Lattice parameters (Å, degrees): 3.665 5.866 3.665 90.00 90.00 90.00
Last column: magnetic moment on the atom in μB.
Fractional coordinates of all 5 atoms:
1 F 0.500 0.000 0.000  0.17
2 Be 0.000 0.500 0.000  -0.02
3 Au 0.500 0.500 0.500  -0.02
4 Co 0.000 0.000 0.000  2.65
5 F 0.000 0.000 0.500  0.09

Output
Its crystal system is tetragonal. As for the space group: P4/mmm. As for the uncorrected energy: -0.2767 Ry/atom.